[1]
# KV2Os

A relaxed structure of KV2Os (PBE, the Alexandria database).

The structure in POSCAR format:
```
KV2Os
1.0
0.0000 3.2363 3.2363
3.2363 0.0000 3.2363
3.2363 3.2363 0.0000
V Os K
2 1 1
direct
0.7500 0.7500 0.7500 V
0.2500 0.2500 0.2500 V
0.5000 0.5000 0.5000 Os
0.0000 0.0000 0.0000 K
```

Calculated values
Formation enthalpy at 0 K: 1219 meV/atom
Volume: 68 Å³/cell
Space-group type: Fm-3m
E above lowest polymorph: 0 meV/atom
Uncorrected energy: -6.422 eV/atom

[2]
# CuSiMo2

A relaxed structure of CuSiMo2 (PBE, the Alexandria database).

The structure in POSCAR format:
```
CuSiMo2
1.0
-0.1959 -2.0782 1.7111
1.0838 -1.6313 -1.8572
7.0873 1.5883 2.7405
Si Mo Cu
1 2 1
direct
0.5000 0.5000 0.2500 Si
0.0000 0.0000 0.0051 Mo
0.0000 0.0000 0.4949 Mo
0.5000 0.5000 0.7500 Cu
```

Calculated values
Volume: 57 Å³/cell
Space-group type: P4/mmm
Energy relative to the elements, uncorrected: 0.1541 eV per atom
Uncorrected energy: -7.641 eV/atom

[3]
# YI2Cl

A relaxed structure of YI2Cl (PBE, the Alexandria database).

The structure in POSCAR format:
```
YI2Cl
1.0
3.8789 0.0011 -0.0002
1.9365 7.2892 0.3914
1.9377 2.9342 6.6835
I Y Cl
2 1 1
direct
0.4123 0.5713 0.6041 I
0.0877 0.8959 0.9287 I
0.7500 0.8943 0.6057 Y
0.2500 0.1385 0.3615 Cl
```

Calculated values
Volume: 185 Å³/cell
Space-group type: Imm2
E above lowest polymorph: 43 meV/atom
Energy relative to the elements, uncorrected: -1.6329 eV per atom
Uncorrected energy: -4.486 eV/atom

[4]
# Mg2ZnCu

A relaxed structure of Mg2ZnCu (PBE, the Alexandria database).

The structure in POSCAR format:
```
Mg2ZnCu
1.0
1.0850 2.6811 3.2430
-3.8680 0.3918 -1.9411
-3.4782 -5.6070 5.7992
Zn Cu Mg
2 2 4
direct
0.6667 0.3333 0.7500 Zn
0.3333 0.6667 0.2500 Zn
0.0000 0.0000 0.2500 Cu
0.0000 0.0000 0.7500 Cu
0.6667 0.3333 0.0890 Mg
0.3333 0.6667 0.5890 Mg
0.6667 0.3333 0.4110 Mg
0.3333 0.6667 0.9110 Mg
```

Calculated values
Formation enthalpy at 0 K: -20 meV/atom
Volume: 144 Å³/cell
Space-group type: P6_3/mmc
Uncorrected energy: -2.159 eV/atom

[5]
# InTeRuPb2

A relaxed structure of InTeRuPb2 (PBE, the Alexandria database).

The structure in POSCAR format:
```
InTeRuPb2
1.0
-3.7826 2.2701 2.9378
-0.8076 -4.5967 2.5120
3.5558 1.3199 3.5584
Te Pb In Ru
1 2 1 1
direct
0.5000 0.5000 0.5000 Te
0.5000 0.0000 0.0000 Pb
0.0000 0.5000 0.0000 Pb
0.0000 0.0000 0.5000 In
0.0000 0.0000 0.0000 Ru
```

Calculated values
Volume: 146 Å³/cell
Space-group type: P4/mmm
Energy relative to the elements, uncorrected: 0.0336 eV per atom
Uncorrected energy: -4.481 eV/atom

[6]
# TbPm5Sm2Tm

A relaxed structure of TbPm5Sm2Tm (PBE, the Alexandria database).

The structure in POSCAR format:
```
TbPm5Sm2Tm
1.0
8.6410 0.0000 0.0000
0.0000 8.6410 0.0000
-4.3205 -4.3205 8.1886
Tm Pm Sm Tb
2 10 4 2
direct
0.7500 0.2500 0.5000 Tm
0.2500 0.7500 0.5000 Tm
0.3556 0.8556 0.2831 Pm
0.9275 0.4275 0.2831 Pm
0.5725 0.6444 0.7169 Pm
0.4275 0.3556 0.2831 Pm
0.8556 0.9275 0.2831 Pm
0.0000 0.0000 0.0000 Pm
0.5000 0.5000 0.0000 Pm
0.0725 0.5725 0.7169 Pm
0.1444 0.0725 0.7169 Pm
0.6444 0.1444 0.7169 Pm
0.1201 0.3799 0.0000 Sm
0.8799 0.6201 0.0000 Sm
0.3799 0.8799 0.0000 Sm
0.6201 0.1201 0.0000 Sm
0.2500 0.2500 0.5000 Tb
0.7500 0.7500 0.5000 Tb
```

Calculated values
Formation enthalpy at 0 K: 287 meV/atom
Volume: 611 Å³/cell
Space-group type: I4/mcm
Uncorrected energy: -4.412 eV/atom

[7]
# Al5Tl

A relaxed structure of Al5Tl (PBE, the Alexandria database).

The structure in POSCAR format:
```
Al5Tl
1.0
-4.6366 -2.8012 -1.1002
-2.3753 -4.6644 -1.7768
-2.0592 -4.6532 5.9313
Al Tl
5 1
direct
0.3648 0.3648 0.3255 Al
0.9876 0.9876 0.9555 Al
0.0621 0.0621 0.4367 Al
0.6787 0.6787 0.6492 Al
0.3819 0.3819 0.7188 Al
0.6916 0.6916 0.0809 Tl
```

Calculated values
Formation enthalpy at 0 K: 192 meV/atom
Volume: 115 Å³/cell
Space-group type: Cm
E above lowest polymorph: 27 meV/atom
Uncorrected energy: -3.321 eV/atom

[8]
# Nd6YEr5

A relaxed structure of Nd6YEr5 (PBE, the Alexandria database).

The structure in POSCAR format:
```
Nd6YEr5
1.0
5.0172 0.0000 1.0408
2.5086 7.6724 0.5204
-2.0421 0.0000 9.8512
Er Y Nd
5 1 6
direct
0.3327 0.3347 0.0000 Er
0.3334 0.3333 0.5000 Er
0.6673 0.6653 0.0000 Er
0.6666 0.6667 0.5000 Er
0.0000 0.0000 0.5000 Er
0.0000 0.0000 0.0000 Y
0.1671 0.6659 0.7493 Nd
0.1670 0.6659 0.2507 Nd
0.5000 0.0000 0.2512 Nd
0.8330 0.3341 0.7493 Nd
0.5000 0.0000 0.7488 Nd
0.8329 0.3341 0.2507 Nd
```

Calculated values
Formation enthalpy at 0 K: 21 meV/atom
Volume: 396 Å³/cell
Space-group type: Cmmm
E above lowest polymorph: 9 meV/atom
Uncorrected energy: -4.803 eV/atom

Among the records above, which one has the highest volume? TbPm5Sm2Tm

What is the volume in the seventh record? 115 Å³/cell

Look up the volume of the seventh one. 115 Å³/cell